VASP calculation (PBE-GGA) on CsBaCeCl6 after structural relaxation.

The structure in POSCAR format:
```
CsBaCeCl6
1.0
8.014 0.000 0.000
-4.007 6.940 0.000
0.000 0.000 12.651
Cs Ba Ce Cl
2 2 2 12
direct
0.333 0.667 0.250
0.667 0.333 0.750
0.000 0.000 0.000
0.000 0.000 0.500
0.667 0.333 0.250
0.333 0.667 0.750
0.702 0.634 0.125
0.932 0.298 0.125
0.298 0.932 0.625
0.068 0.702 0.875
0.366 0.298 0.375
0.932 0.634 0.375
0.634 0.932 0.875
0.702 0.068 0.375
0.068 0.366 0.625
0.366 0.068 0.125
0.634 0.702 0.625
0.298 0.366 0.875
```

Values from the calculation:
- Electronic total energy: -4.45 eV/atom
- E_form (uncorrected): -20.3 eV per formula unit